Entry 1:
The following is a DFT calculation (PBE-GGA) of a geometry-optimized PrDyHo structure.

Results
ΔH_f (0 K): 23 meV/atom
final energy: -27.78 eV for the cell shown
polymorph energy (0 for the lowest one): 0.02 eV/f.u.
space group: P2_1/m
crystal system: monoclinic

Structure (POSCAR):
```
PrDyHo
1.0
5.0721 0.0000 0.0000
0.0000 5.0964 0.0000
-2.5432 0.0000 7.6238
Pr Dy Ho
2 2 2
Cartesian
-0.0012 1.2741 1.2786
2.5300 3.8223 6.3451
-0.0064 1.2741 6.3278
2.5352 3.8223 1.2960
-0.0048 3.8223 3.8035
2.5337 1.2741 3.8203
```

---

Entry 2:
The following is a DFT calculation (PBE-GGA) of a geometry-optimized PrDy8Ho2 structure.

Results
ΔH_f (0 K): 115 meV/atom
final energy: -49.48 eV for the cell shown
polymorph energy (0 for the lowest one): 0.00 eV/f.u.
space group: Immm
crystal system: orthorhombic

Structure (POSCAR):
```
PrDy8Ho2
1.0
-2.7510 4.0652 7.9616
2.7510 -4.0652 7.9616
2.7510 4.0652 -7.9616
Pr Dy Ho
1 8 2
Cartesian
0.0000 0.0000 0.0000
2.7510 -1.6752 5.7352
2.7510 0.0000 2.6051
2.7510 2.4059 0.0000
0.0000 2.3900 2.2264
2.7510 1.6752 5.7352
0.0000 1.6593 7.9616
0.0000 4.0652 5.3565
0.0000 5.7404 2.2264
0.0000 0.0000 4.7857
0.0000 0.0000 11.1376
```

---

Entry 3:
The following is a DFT calculation (PBE-GGA) of a geometry-optimized Pr2DyHo structure.

Results
ΔH_f (0 K): 24 meV/atom
final energy: -37.28 eV for the cell shown
polymorph energy (0 for the lowest one): 0.05 eV/f.u.
space group: Cmcm
crystal system: orthorhombic

Structure (POSCAR):
```
Pr2DyHo
1.0
3.6975 -6.3222 0.0000
3.6975 6.3222 0.0000
0.0000 0.0000 5.8268
Pr Dy Ho
4 2 2
Cartesian
1.8476 2.0872 1.4567
1.8476 -2.0872 4.3701
5.5475 2.0872 1.4567
5.5475 -2.0872 4.3701
3.6975 5.2741 1.4567
3.6975 -5.2741 4.3701
3.6975 1.0494 4.3701
3.6975 -1.0494 1.4567
```

---

Entry 4:
The following is a DFT calculation (PBE-GGA) of a geometry-optimized PrDy5Ho6 structure.

Results
ΔH_f (0 K): 18 meV/atom
final energy: -55.04 eV for the cell shown
space group: C2/m
crystal system: monoclinic

Structure (POSCAR):
```
PrDy5Ho6
1.0
3.0715 -5.3170 0.0000
3.0715 5.3170 0.0000
-2.0409 0.0000 11.5697
Pr Dy Ho
1 5 6
Cartesian
0.0000 0.0000 0.0000
2.0510 3.5418 5.7848
3.0715 1.7729 0.0000
2.0510 0.0000 5.7848
3.0715 -1.7729 0.0000
2.0510 -3.5418 5.7848
1.0260 1.7769 2.9123
0.0129 0.0000 8.6586
1.0260 -1.7769 2.9123
3.0761 1.7769 8.6574
4.0891 0.0000 2.9110
3.0761 -1.7769 8.6574
```

---

Entry 5:
The following is a DFT calculation (PBE-GGA) of a geometry-optimized Pr4Dy3Ho4 structure.

Results
ΔH_f (0 K): 124 meV/atom
final energy: -49.87 eV for the cell shown
polymorph energy (0 for the lowest one): 0.00 eV/f.u.
space group: Immm
crystal system: orthorhombic

Structure (POSCAR):
```
Pr4Dy3Ho4
1.0
-1.8050 4.7339 10.9416
1.8050 -4.7339 10.9416
1.8050 4.7339 -10.9416
Pr Dy Ho
4 3 4
Cartesian
1.8050 -3.0462 7.7691
0.0000 1.6877 3.1725
1.8050 3.0462 7.7691
0.0000 7.7801 3.1725
1.8050 0.0000 0.0000
0.0000 0.0000 8.6100
0.0000 0.0000 13.2732
1.8050 0.0000 5.7165
0.0000 3.0061 0.0000
0.0000 6.4617 0.0000
0.0000 4.7339 5.2252
```

---

Entry 6:
The following is a DFT calculation (PBE-GGA) of a geometry-optimized Pr2Dy5Ho structure.

Results
ΔH_f (0 K): 24 meV/atom
final energy: -36.96 eV for the cell shown
polymorph energy (0 for the lowest one): 0.03 eV/f.u.
space group: I4/mmm
crystal system: tetragonal

Structure (POSCAR):
```
Pr2Dy5Ho
1.0
-2.5381 2.5381 10.0976
2.5381 -2.5381 10.0976
2.5381 2.5381 -10.0976
Pr Dy Ho
2 5 1
Cartesian
0.0000 0.0000 5.0500
0.0000 0.0000 15.1451
0.0000 0.0000 0.0000
2.5381 0.0000 2.4701
2.5381 0.0000 7.6274
0.0000 2.5381 2.4701
0.0000 2.5381 7.6274
0.0000 0.0000 10.0976
```

---

Entry 7:
The following is a DFT calculation (PBE-GGA) of a geometry-optimized Pr5Dy2Ho3 structure.

Results
ΔH_f (0 K): 175 meV/atom
final energy: -90.17 eV for the cell shown
polymorph energy (0 for the lowest one): 0.00 eV/f.u.
space group: C2/c
crystal system: monoclinic

Structure (POSCAR):
```
Pr5Dy2Ho3
1.0
5.3901 -7.4590 0.0000
5.3901 7.4590 0.0000
-5.3895 0.0000 8.5437
Pr Dy Ho
10 4 6
Cartesian
1.3480 7.1390 6.4078
-1.3366 1.7903 6.4514
1.3480 4.0089 6.4078
4.0427 3.4052 2.1359
1.3582 -1.7903 2.1796
4.0325 1.7903 6.3641
1.3480 -3.4052 6.4078
4.0427 -4.0089 2.1359
6.7273 -1.7903 2.0923
4.0427 -7.1390 2.1359
1.3410 1.8050 3.7710
-1.3537 -1.8050 8.0429
6.7445 1.8050 0.5008
4.0497 -1.8050 4.7727
1.3496 1.8565 0.4948
-1.3451 -1.8565 4.7666
4.0427 0.3278 2.1359
1.3480 -0.3278 6.4078
6.7358 1.8565 3.7771
4.0411 -1.8565 8.0489
```

---

Entry 8:
The following is a DFT calculation (PBE-GGA) of a geometry-optimized Pr6Dy8Ho structure.

Results
ΔH_f (0 K): 117 meV/atom
final energy: -68.31 eV for the cell shown
polymorph energy (0 for the lowest one): 0.00 eV/f.u.
space group: R-3
crystal system: trigonal

Structure (POSCAR):
```
Pr6Dy8Ho
1.0
4.5759 2.6419 6.9968
-4.5759 2.6419 6.9968
0.0000 -5.2838 6.9968
Pr Dy Ho
6 8 1
Cartesian
-2.5744 -2.1676 9.5707
-3.1644 1.1457 11.4196
0.5900 -3.3133 11.4196
-0.5900 3.3133 9.5707
3.1644 -1.1457 9.5707
2.5744 2.1676 11.4196
0.0000 0.0000 1.6132
-1.8131 0.8624 7.5555
0.1596 -2.0014 7.5555
-1.6534 -1.1389 13.4348
1.6534 1.1389 7.5555
-0.1596 2.0014 13.4348
1.8131 -0.8624 13.4348
0.0000 0.0000 19.3771
0.0000 0.0000 10.4951
```